## ScBi2MoO8 (GGA+U)

Data for a geometry-optimized ScBi2MoO8 structure.

Summary:
SG ... Cmmm, No. 65
ρ ... 6651 kg/m3
Raw total energy ... -6.77 eV per atom

a = 5.084 Å, b = 5.076 Å, c = 6.646 Å
α = 90.00°, β = 90.00°, γ = 90.64°
Sites, in units of the cell vectors:
O 0.177 0.823 0.227
Sc 0.000 0.000 0.500
O 0.707 0.707 0.500
Bi 0.500 0.500 0.250
O 0.177 0.823 0.773
O 0.730 0.730 0.000
O 0.293 0.293 0.500
O 0.823 0.177 0.773
Mo 0.000 0.000 0.000
Bi 0.500 0.500 0.750
O 0.270 0.270 0.000
O 0.823 0.177 0.227